Entry from Alexandria via LeMat-Bulk: a geometry-optimized HoCdCo structure (PBE-GGA).

Unit cell a=3.7958 b=3.8579 c=8.5662 alpha=103.01 beta=90.00 gamma=90.00
Last column: nearest neighbours and their distance in Å.
Fractional coordinates of all 6 atoms:
Ho1 0.2500 0.9082 0.8164  6 Co 2.86-2.89
Co1 0.7500 0.4633 0.9266  2 Co 2.26
Co2 0.2500 0.5367 0.0734  2 Co 2.26
Ho2 0.7500 0.0918 0.1836  6 Co 2.86-2.89
Cd1 0.7500 0.2966 0.5931  1 Co 2.78
Cd2 0.2500 0.7034 0.4069  1 Co 2.78

Output
- uncorrected energy (eV/f.u.) = -13.5
- E_form (kJ/mol of atoms) = -28
- density of states at the Fermi level (states/eV per atom) = 0.76
- crystal system = orthorhombic